# 1
LaTe2I8 | PBE | optimized geometry

Unit cell a=8.5985 b=9.1751 c=9.1751 alpha=59.84 beta=69.83 gamma=69.83
Fractional coordinates of all 11 atoms:
La1 0.0000 0.0000 0.0000
Te1 0.5555 0.8594 0.8594
Te2 0.4445 0.1406 0.1406
I1 0.2247 0.2744 0.8131
I2 0.7753 0.1869 0.7256
I3 0.3023 0.7876 0.7876
I4 0.6977 0.2124 0.2124
I5 0.2247 0.8131 0.2744
I6 0.7753 0.7256 0.1869
I7 0.8284 0.6966 0.6966
I8 0.1716 0.3034 0.3034

Output
- Mass density: 4.076 g cm⁻³
- DFT total energy: -2.613 eV per atom

***

# 2
LaTe3I | PBE | optimized geometry

Unit cell a=6.1774 b=6.1774 c=6.1774 alpha=90.00 beta=90.00 gamma=90.00
Fractional coordinates of all 5 atoms:
I1 0.5000 0.5000 0.5000
Te1 0.0000 0.5000 0.0000
Te2 0.0000 0.0000 0.5000
Te3 0.5000 0.0000 0.0000
La1 0.0000 0.0000 0.0000

Output
- Offset from the most stable computed form: 0.00 kcal/mol of atoms
- Mass density: 4.569 g cm⁻³
- DFT total energy: -3.262 eV per atom

***

# 3
La3TeI3 | PBE | optimized geometry

Unit cell a=11.1564 b=11.1497 c=11.1497 alpha=109.46 beta=109.48 gamma=109.48
Fractional coordinates of all 28 atoms:
La1 0.9813 0.4906 0.2407
La2 0.5093 0.0185 0.2592
La3 0.2500 0.0093 0.4907
La4 0.9906 0.7501 0.0094
La5 0.9907 0.2408 0.4815
La6 0.7594 0.0094 0.0187
La7 0.7406 0.4814 0.4907
La8 0.7595 0.7501 0.2407
La9 0.5187 0.2592 0.0094
La10 0.2500 0.2408 0.2593
La11 0.7405 0.2592 0.7499
La12 0.5094 0.4906 0.7499
Te1 0.7500 0.5000 0.0000
Te2 0.4999 0.2499 0.4998
Te3 0.7500 0.2499 0.2501
Te4 0.0001 0.0002 0.2502
I1 0.2419 0.9919 0.9838
I2 0.7500 0.7582 0.7418
I3 0.4840 0.7418 0.9918
I4 0.0080 0.2501 0.9919
I5 0.2579 0.7418 0.2499
I6 0.4920 0.5081 0.2499
I7 0.2421 0.2501 0.7582
I8 0.2581 0.5162 0.5081
I9 0.7500 0.9919 0.5081
I10 0.0160 0.5081 0.7582
I11 0.0081 0.7581 0.5163
I12 0.4919 0.9836 0.7419

Output
- Offset from the most stable computed form: 0.00 kcal/mol of atoms
- Mass density: 5.756 g cm⁻³
- DFT total energy: -4.595 eV per atom